Entry i
## Tl3Ag (PBEsol)

Data for an optimized crystal structure of Tl3Ag.

Results
As for the crystal system: trigonal. The calculation puts the density of states at the Fermi level at 0.38 states/eV/atom. The space group is R-3m, No. 166.

a b c (Å): 10.3870 10.3870 10.3870
angles (deg): 18.60 18.60 18.60
Last column: nearest neighbours and their distance in Å.
Atoms (fractional coordinates):
Tl  0.0000  0.0000  0.0000  12 Tl 3.36-3.42
Tl  0.2412  0.2412  0.2412  3 Ag 2.99
Tl  0.7588  0.7588  0.7588  3 Ag 2.99
Ag  0.5000  0.5000  0.5000  6 Tl 2.99


Entry ii
## Tl3Ag (PBEsol)

Data for an optimized crystal structure of Tl3Ag.

Results
As for the crystal system: orthorhombic. The calculation puts the density of states at the Fermi level at 0.45 states/eV/atom. The space group is Immm, No. 71.

a b c (Å): 6.2936 6.2936 6.2936
angles (deg): 148.32 129.43 60.92
Last column: nearest neighbours and their distance in Å.
Atoms (fractional coordinates):
Tl  0.0000  0.0000  0.0000  4 Ag 3.19, 6 Tl 3.44-3.47
Tl  0.2779  0.7779  0.5000  2 Ag 2.96, 4 Tl 3.25
Tl  0.7221  0.2221  0.5000  2 Ag 2.96, 4 Tl 3.25
Ag  0.5000  0.5000  0.0000  8 Tl 2.96-3.19


Entry iii
## Tl3Ag (PBEsol)

Data for an optimized crystal structure of Tl3Ag.

Results
As for the crystal system: orthorhombic. The calculation puts the density of states at the Fermi level at 0.44 states/eV/atom. The space group is Pnma, No. 62.

a b c (Å): 7.4753 8.8926 6.1237
angles (deg): 90.00 90.00 90.00
Last column: nearest neighbours and their distance in Å.
Atoms (fractional coordinates):
Tl  0.0135  0.2500  0.1004  2 Ag 2.95-2.96
Tl  0.1900  0.0502  0.6398  3 Ag 2.91-2.99
Tl  0.1900  0.4498  0.6398  3 Ag 2.91-2.99
Tl  0.3100  0.5502  0.1398  3 Ag 2.91-2.99
Tl  0.3100  0.9498  0.1398  3 Ag 2.91-2.99
Tl  0.4865  0.7500  0.6004  2 Ag 2.95-2.96
Tl  0.5135  0.2500  0.3996  2 Ag 2.95-2.96
Tl  0.6900  0.0502  0.8602  3 Ag 2.91-2.99
Tl  0.6900  0.4498  0.8602  3 Ag 2.91-2.99
Tl  0.8100  0.5502  0.3602  3 Ag 2.91-2.99
Tl  0.8100  0.9498  0.3602  3 Ag 2.91-2.99
Tl  0.9865  0.7500  0.8996  2 Ag 2.95-2.96
Ag  0.1117  0.7500  0.4424  8 Tl 2.91-2.99
Ag  0.3883  0.2500  0.9424  8 Tl 2.91-2.99
Ag  0.6117  0.7500  0.0576  8 Tl 2.91-2.99
Ag  0.8883  0.2500  0.5576  8 Tl 2.91-2.99


entry iii is the most stable structure; the next one sits 0.017 eV/atom above it.